36
Lattice="5.143 0.000 0.000 0.000 9.511 0.000 0.000 0.000 6.750" Properties=species:S:1:pos:R:3 comment="GGA-PBE B2W2N5, optimized geometry" total_magnetization_mub_per_cell=0.01 e_tot_ev_per_atom=-9.34 pbc="T T T"
B 0.456 2.378 0.465
B 0.589 2.378 4.314
B 1.983 7.133 0.939
B 2.115 7.133 3.840
B 3.027 2.378 2.910
B 3.160 2.378 5.811
B 4.554 7.133 2.436
B 4.687 7.133 6.285
W 1.221 0.240 5.751
W 1.221 4.515 5.751
W 1.350 4.996 2.376
W 1.350 9.270 2.376
W 3.792 0.240 4.374
W 3.792 4.515 4.374
W 3.922 4.996 0.999
W 3.922 9.270 0.999
N 0.467 1.015 0.966
N 0.467 3.740 0.966
N 0.541 1.044 3.802
N 0.541 3.711 3.802
N 0.655 2.378 5.786
N 1.916 7.133 2.411
N 2.031 5.799 0.427
N 2.031 8.467 0.427
N 2.104 5.770 4.341
N 2.104 8.496 4.341
N 3.039 1.015 2.409
N 3.039 3.740 2.409
N 3.112 1.044 6.324
N 3.112 3.711 6.324
N 3.227 2.378 4.339
N 4.487 7.133 0.964
N 4.602 5.799 2.948
N 4.602 8.467 2.948
N 4.676 5.770 5.784
N 4.676 8.496 5.784